No. 1
A geometry-optimized HfBe3Mo structure. Source: the Alexandria database, functional PBE.

Computed properties:
E_form   193.64 kJ/mol of atoms
Calculated density   6.01 g/cm³
Energy relative to the lowest polymorph listed for this composition   1352.0 meV per atom

Lattice parameters (Å, degrees): 4.3663 4.3663 4.3663 90.00 90.00 90.00
With the nearest neighbours (Å) after each atom.
Element x y z (fractional)
Be 0.0000 0.5000 0.0000  2 Hf 2.18
Be 0.0000 0.0000 0.5000  2 Hf 2.18
Be 0.5000 0.0000 0.0000  2 Hf 2.18
Mo 0.5000 0.5000 0.5000  12 Be 3.09
Hf 0.0000 0.0000 0.0000  6 Be 2.18


No. 2
A geometry-optimized Ho4CoSe2 structure. Source: the Alexandria database, functional PBE.

Computed properties:
Calculated density   8.43 g/cm³
Calculated total energy   -79.01 eV per cell

Lattice parameters (Å, degrees): 3.7637 6.8523 13.9260 90.00 90.00 105.94
With the nearest neighbours (Å) after each atom.
Element x y z (fractional)
Co 0.3937 0.7874 0.2500  6 Ho 2.68-2.82
Co 0.6063 0.2126 0.7500  6 Ho 2.68-2.82
Ho 0.2033 0.4065 0.6300  2 Co 2.82, 3 Se 2.86-2.90
Ho 0.7967 0.5935 0.3700  2 Co 2.82, 3 Se 2.86-2.90
Ho 0.7967 0.5935 0.1300  2 Co 2.82, 3 Se 2.86-2.90
Ho 0.2033 0.4065 0.8700  2 Co 2.82, 3 Se 2.86-2.90
Ho 0.9611 0.9223 0.7500  2 Co 2.68, 2 Se 2.89
Ho 0.0389 0.0777 0.2500  2 Co 2.68, 2 Se 2.89
Ho 0.5000 0.0000 0.0000  4 Se 2.82
Ho 0.5000 0.0000 0.5000  4 Se 2.82
Se 0.8576 0.7152 0.9326  6 Ho 2.82-2.90
Se 0.1424 0.2848 0.0674  6 Ho 2.82-2.90
Se 0.8576 0.7152 0.5674  6 Ho 2.82-2.90
Se 0.1424 0.2848 0.4326  6 Ho 2.82-2.90


No. 3
A geometry-optimized Tl3In2 structure. Source: the Alexandria database, functional PBE.

Computed properties:
E_form   5.21 kJ/mol of atoms
Calculated density   9.13 g/cm³
Energy relative to the lowest polymorph listed for this composition   40.2 meV per atom

Lattice parameters (Å, degrees): 9.4561 9.4561 6.7427 45.48 45.48 60.00
With the nearest neighbours (Å) after each atom.
Element x y z (fractional)
Tl 0.0749 0.7500 0.7500  4 In 3.23-3.42
Tl 0.7500 0.4251 0.7500  4 In 3.23-3.42
Tl 0.4251 0.0749 0.7500  4 In 3.23-3.42
Tl 0.2500 0.5749 0.2500  4 In 3.23-3.42
Tl 0.5749 0.9251 0.2500  4 In 3.23-3.42
Tl 0.9251 0.2500 0.2500  4 In 3.23-3.42
In 0.8757 0.8757 0.3729  2 In 2.95-2.98, 3 Tl 3.23
In 0.3757 0.3757 0.8729  2 In 2.95-2.98, 3 Tl 3.23
In 0.1243 0.1243 0.6271  2 In 2.95-2.98, 3 Tl 3.23
In 0.6243 0.6243 0.1271  2 In 2.95-2.98, 3 Tl 3.23


No. 4
A geometry-optimized YTcH3 structure. Source: the Alexandria database, functional PBE.

Computed properties:
Calculated density   6.45 g/cm³
Energy relative to the lowest polymorph listed for this composition   0.0 meV per atom

Lattice parameters (Å, degrees): 3.6575 3.6575 3.6575 90.00 90.00 90.00
With the nearest neighbours (Å) after each atom.
Element x y z (fractional)
Y 0.5000 0.5000 0.5000  12 H 2.59
H 0.0000 0.5000 0.0000  2 Tc 1.83
H 0.0000 0.0000 0.5000  2 Tc 1.83
H 0.5000 0.0000 0.0000  2 Tc 1.83
Tc 0.0000 0.0000 0.0000  6 H 1.83


No. 5
A geometry-optimized K2Cd6AgPd structure. Source: the Alexandria database, functional PBE.

Computed properties:
E_form   -9.39 kJ/mol of atoms
Calculated density   5.43 g/cm³

Lattice parameters (Å, degrees): 7.7870 7.3606 10.3097 90.00 90.00 90.00
With the nearest neighbours (Å) after each atom.
Element x y z (fractional)
K 0.5000 0.7321 0.2747  12 Cd 3.65-3.97, 1 Pd 3.68, 1 Ag 3.88
K 0.0000 0.2679 0.7747  12 Cd 3.65-3.97, 1 Pd 3.68, 1 Ag 3.88
K 0.5000 0.7321 0.7253  12 Cd 3.65-3.97, 1 Pd 3.68, 1 Ag 3.88
K 0.0000 0.2679 0.2253  12 Cd 3.65-3.97, 1 Pd 3.68, 1 Ag 3.88
Cd 0.5000 0.2265 0.2503  1 Pd 2.69, 1 Ag 2.80
Cd 0.5000 0.2265 0.7497  1 Pd 2.69, 1 Ag 2.80
Cd 0.0000 0.7735 0.2497  1 Pd 2.69, 1 Ag 2.80
Cd 0.0000 0.7735 0.7503  1 Pd 2.69, 1 Ag 2.80
Cd 0.1956 0.9527 0.5000  1 Pd 2.67, 1 Ag 2.84
Cd 0.8044 0.9527 0.5000  1 Pd 2.67, 1 Ag 2.84
Cd 0.2774 0.3986 0.5000  1 Pd 2.68, 1 Ag 2.74
Cd 0.7226 0.3986 0.5000  1 Pd 2.68, 1 Ag 2.74
Cd 0.7774 0.6014 0.0000  1 Pd 2.68, 1 Ag 2.74
Cd 0.2226 0.6014 0.0000  1 Pd 2.68, 1 Ag 2.74
Cd 0.3044 0.0473 0.0000  1 Pd 2.67, 1 Ag 2.84
Cd 0.6956 0.0473 0.0000  1 Pd 2.67, 1 Ag 2.84
Ag 0.0000 0.6277 0.5000  6 Cd 2.74-2.84
Ag 0.5000 0.3723 0.0000  6 Cd 2.74-2.84
Pd 0.5000 0.1205 0.5000  6 Cd 2.67-2.69
Pd 0.0000 0.8795 0.0000  6 Cd 2.67-2.69


No. 6
A geometry-optimized PrLu2Pu structure. Source: the Alexandria database, functional PBE.

Computed properties:
E_form   17.42 kJ/mol of atoms
Calculated density   9.94 g/cm³
Energy relative to the lowest polymorph listed for this composition   0.0 meV per atom

Lattice parameters (Å, degrees): 3.7636 5.7116 5.7116 90.00 90.00 90.00
With the nearest neighbours (Å) after each atom.
Element x y z (fractional)
Pr 0.5000 0.0000 0.0000  8 Lu 3.42, 2 Pr 3.76
Lu 0.0000 0.0000 0.5000  4 Pr 3.42, 4 Pu 3.42, 2 Lu 3.76
Lu 0.0000 0.5000 0.0000  4 Pr 3.42, 4 Pu 3.42, 2 Lu 3.76
Pu 0.5000 0.5000 0.5000  8 Lu 3.42, 2 Pu 3.76


No. 7
A geometry-optimized Tb8TcPd2 structure. Source: the Alexandria database, functional PBE.

Computed properties:
E_form   -31.25 kJ/mol of atoms
Calculated density   9.11 g/cm³
Energy relative to the lowest polymorph listed for this composition   0.0 meV per atom

Lattice parameters (Å, degrees): 5.1009 6.8521 8.9969 106.17 106.47 90.00
With the nearest neighbours (Å) after each atom.
Element x y z (fractional)
Tb 0.4088 0.5591 0.8176  1 Tc 2.97, 2 Pd 3.30
Tb 0.6652 0.9672 0.3304  1 Pd 2.84, 1 Tc 2.92
Tb 0.8011 0.6889 0.6022  1 Pd 2.79
Tb 0.9698 0.2073 0.9396  1 Pd 2.94, 2 Tc 3.04
Tb 0.1989 0.3111 0.3978  1 Pd 2.79
Tb 0.3348 0.0328 0.6696  1 Pd 2.84, 1 Tc 2.92
Tb 0.5912 0.4409 0.1824  1 Tc 2.97, 2 Pd 3.30
Tb 0.0302 0.7927 0.0604  1 Pd 2.94, 2 Tc 3.04
Tc 0.5000 0.0000 0.0000  8 Tb 2.92-3.04
Pd 0.8121 0.2906 0.6242  3 Tb 2.79-2.94
Pd 0.1879 0.7094 0.3758  3 Tb 2.79-2.94


No. 8
A geometry-optimized Si4Se3 structure. Source: the Alexandria database, functional PBE.

Computed properties:
Calculated density   3.69 g/cm³
Energy relative to the lowest polymorph listed for this composition   326.7 meV per atom

Lattice parameters (Å, degrees): 5.3944 5.3944 5.3944 90.00 90.00 90.00
With the nearest neighbours (Å) after each atom.
Element x y z (fractional)
Si 0.0000 0.0000 0.0000  6 Se 2.70
Si 0.0000 0.5000 0.5000  4 Se 2.70
Si 0.5000 0.0000 0.5000  4 Se 2.70
Si 0.5000 0.5000 0.0000  4 Se 2.70
Se 0.0000 0.5000 0.0000  6 Si 2.70
Se 0.0000 0.0000 0.5000  6 Si 2.70
Se 0.5000 0.0000 0.0000  6 Si 2.70


No. 9
A geometry-optimized SiOs2Pt structure. Source: the Alexandria database, functional PBE.

Computed properties:
Calculated density   17.21 g/cm³
Calculated total energy   -68.81 eV per cell

Lattice parameters (Å, degrees): 2.8038 5.1727 8.4873 81.70 81.11 74.48
With the nearest neighbours (Å) after each atom.
Element x y z (fractional)
Si 0.8919 0.5524 0.5145  3 Pt 2.43-2.49, 3 Os 2.44-2.47
Si 0.8357 0.0911 0.1828  3 Pt 2.45-2.68, 4 Os 2.53-2.59
Os 0.9298 0.2505 0.7687  1 Si 2.47, 7 Os 2.64-2.75
Os 0.2171 0.7278 0.7199  2 Si 2.44-2.47, 4 Os 2.67-2.71
Os 0.5202 0.8941 0.9669  2 Si 2.55-2.59, 9 Os 2.68-2.80, 1 Pt 2.78
Os 0.2351 0.4289 0.0034  2 Si 2.53-2.58, 8 Os 2.64-2.80, 1 Pt 2.82
Pt 0.2905 0.0949 0.4373  3 Si 2.45-2.68
Pt 0.4523 0.6189 0.2729  3 Si 2.43-2.67


No. 10
A geometry-optimized Y3UBi4 structure. Source: the Alexandria database, functional PBE.

Computed properties:
E_form   -60.08 kJ/mol of atoms
Calculated density   8.71 g/cm³

Lattice parameters (Å, degrees): 4.4651 7.7808 7.7808 109.05 90.00 90.00
With the nearest neighbours (Å) after each atom.
Element x y z (fractional)
Y 0.0000 0.0000 0.5000  6 Bi 3.17-3.18
Y 0.5000 0.5000 0.5000  6 Bi 3.16-3.18
Y 0.0000 0.5000 0.0000  6 Bi 3.17-3.18
U 0.5000 0.0000 0.0000  6 Bi 3.16-3.19
Bi 0.0000 0.2521 0.2521  4 Y 3.16-3.17, 2 U 3.19
Bi 0.5000 0.7506 0.2494  1 U 3.16, 5 Y 3.18
Bi 0.0000 0.7479 0.7479  4 Y 3.16-3.17, 2 U 3.19
Bi 0.5000 0.2494 0.7506  1 U 3.16, 5 Y 3.18